The following is a PBEsol calculation of crystalline BaMnSe at its relaxed geometry, from the Alexandria database.

## Properties
formation energy (no corrections)	-17.3	meV/atom
total magnetization	3.065	μB per formula unit
energy	-63.249	eV per cell

a = 6.605 Å, b = 6.605 Å, c = 6.605 Å
α = 90.00°, β = 90.00°, γ = 90.00°
Space group F-43m (No. 216)
Unique sites:
Ba 0.000 0.000 0.000 x4
Mn 0.250 0.250 0.250 x4
Se 0.000 0.000 0.500 x4

***

The following is a PBEsol calculation of crystalline Ba2MnSe at its relaxed geometry, from the Alexandria database.

## Properties
formation energy (no corrections)	-405.9	meV/atom
total magnetization	3.825	μB per formula unit
energy	-19.533	eV per cell

a = 4.033 Å, b = 4.033 Å, c = 7.872 Å
α = 90.00°, β = 90.00°, γ = 90.00°
Space group P4/mmm (No. 123)
Unique sites:
Ba 0.000 0.000 0.233 x2
Mn 0.500 0.500 0.500 x1
Se 0.500 0.500 0.000 x1

***

The following is a PBEsol calculation of crystalline Ba2MnSe at its relaxed geometry, from the Alexandria database.

## Properties
formation energy (no corrections)	-355.9	meV/atom
total magnetization	3.283	μB per formula unit
energy	-38.666	eV per cell

a = 4.007 Å, b = 4.894 Å, c = 12.531 Å
α = 90.00°, β = 90.00°, γ = 90.00°
Space group Imm2 (No. 44)
Unique sites:
Ba 0.000 0.000 0.000 x2
Ba 0.000 0.500 0.223 x2
Mn 0.000 0.500 0.779 x2
Se 0.000 0.000 0.413 x2

***

The following is a PBEsol calculation of crystalline BaMnSi2 at its relaxed geometry, from the Alexandria database.

## Properties
formation energy (no corrections)	346.9	meV/atom
total magnetization	3.568	μB per formula unit
energy	-44.032	eV per cell

a = 4.209 Å, b = 6.220 Å, c = 7.441 Å
α = 90.00°, β = 90.00°, γ = 90.00°
Space group Imm2 (No. 44)
Unique sites:
Ba 0.000 0.000 0.000 x2
Mn 0.000 0.500 0.857 x2
Si 0.000 0.000 0.502 x2
Si 0.000 0.500 0.173 x2

***

The following is a PBEsol calculation of crystalline Ba3MnSi at its relaxed geometry, from the Alexandria database.

## Properties
formation energy (no corrections)	562.4	meV/atom
total magnetization	4.215	μB per formula unit
energy	-19.143	eV per cell

a = 6.275 Å, b = 6.275 Å, c = 6.275 Å
α = 90.00°, β = 90.00°, γ = 90.00°
Space group Pm-3m (No. 221)
Unique sites:
Ba 0.000 0.000 0.500 x3
Mn 0.500 0.500 0.500 x1
Si 0.000 0.000 0.000 x1

***

The following is a PBEsol calculation of crystalline BaMnSi2 at its relaxed geometry, from the Alexandria database.

## Properties
formation energy (no corrections)	-227.3	meV/atom
total magnetization	2.410	μB per formula unit
energy	-72.938	eV per cell

a = 4.0372 Å, b = 4.0372 Å, c = 17.9946 Å
α = 90.00°, β = 90.00°, γ = 120.00°
Space group R-3m (No. 166, hexagonal axes)
Unique sites:
Ba 0.0000 0.0000 0.0000 x3
Mn 0.0000 0.0000 0.5000 x3
Si 0.0000 0.0000 0.2022 x6

***

The following is a PBEsol calculation of crystalline BaSrMn at its relaxed geometry, from the Alexandria database.

## Properties
offset from the most stable computed form	0	meV per atom
total magnetization	3.441	μB per formula unit
formation energy from the elements	2.17	eV/f.u.
energy	-46.319	eV per cell

a = 7.879 Å, b = 7.879 Å, c = 7.879 Å
α = 90.00°, β = 90.00°, γ = 90.00°
Space group F-43m (No. 216)
Unique sites:
Ba 0.000 0.000 0.000 x4
Sr 0.000 0.000 0.500 x4
Mn 0.250 0.250 0.750 x4

***

The following is a PBEsol calculation of crystalline BaSrMn3 at its relaxed geometry, from the Alexandria database.

## Properties
total magnetization	12.142	μB per formula unit
formation energy from the elements	7.92	eV/f.u.
energy	-25.352	eV per cell

a = 5.451 Å, b = 5.451 Å, c = 5.451 Å
α = 90.00°, β = 90.00°, γ = 90.00°
Space group Pm-3m (No. 221)
Unique sites:
Ba 0.000 0.000 0.000 x1
Sr 0.500 0.500 0.500 x1
Mn 0.000 0.500 0.500 x3

***

The following is a PBEsol calculation of crystalline BaSr2Mn at its relaxed geometry, from the Alexandria database.

## Properties
total magnetization	4.113	μB per formula unit
formation energy from the elements	2.27	eV/f.u.
energy	-13.318	eV per cell

a = 5.487 Å, b = 5.487 Å, c = 5.348 Å
α = 90.00°, β = 90.00°, γ = 90.00°
Space group P4/mmm (No. 123)
Unique sites:
Ba 0.000 0.000 0.000 x1
Sr 0.000 0.500 0.500 x2
Mn 0.500 0.500 0.000 x1

***

The following is a PBEsol calculation of crystalline Ba2TaMn at its relaxed geometry, from the Alexandria database.

## Properties
total magnetization	4.336	μB per formula unit
formation energy from the elements	4.82	eV/f.u.
energy	-43.585	eV per cell

a = 4.604 Å, b = 4.614 Å, c = 10.405 Å
α = 90.00°, β = 90.00°, γ = 90.00°
Space group Cmmm (No. 65)
Unique sites:
Ba 0.000 0.000 0.248 x4
Ta 0.000 0.500 0.500 x2
Mn 0.000 0.500 0.000 x2

***

The following is a PBEsol calculation of crystalline BaZrTaMn2 at its relaxed geometry, from the Alexandria database.

## Properties
total magnetization	4.573	μB per formula unit
formation energy from the elements	12.17	eV/f.u.
energy	-31.140	eV per cell

a = 4.658 Å, b = 4.658 Å, c = 5.167 Å
α = 90.00°, β = 90.00°, γ = 90.00°
Space group P4/mmm (No. 123)
Unique sites:
Ba 0.000 0.000 0.000 x1
Zr 0.000 0.000 0.500 x1
Ta 0.500 0.500 0.500 x1
Mn 0.000 0.500 0.000 x2

***

The following is a PBEsol calculation of crystalline BaMnTc2 at its relaxed geometry, from the Alexandria database.

## Properties
offset from the most stable computed form	36	meV per atom
total magnetization	2.931	μB per formula unit
formation energy from the elements	5.24	eV/f.u.
energy	-29.206	eV per cell

a = 3.066 Å, b = 4.747 Å, c = 4.851 Å
α = 90.00°, β = 90.00°, γ = 90.00°
Space group Pmmm (No. 47)
Unique sites:
Ba 0.000 0.000 0.000 x1
Mn 0.500 0.000 0.500 x1
Tc 0.000 0.500 0.500 x1
Tc 0.500 0.500 0.000 x1